Record 1
Compound: Nb5C4N
Source: Alexandria via LeMat-Bulk
Functional: PBE-GGA
Structure: relaxed

Structure (POSCAR):
```
Nb5C4N
1.0
3.137 0.000 -0.605
-0.230 4.292 -1.191
0.002 0.026 8.441
Nb C N
5 4 1
Direct
0.603 0.103 0.206
0.800 0.300 0.601
0.200 0.700 0.399
0.000 0.500 0.000
0.397 0.897 0.794
0.400 0.400 0.801
0.800 0.800 0.600
0.200 0.200 0.400
0.600 0.600 0.199
0.000 0.000 0.000
```

Values from the calculation:
The value obtained for the density of states at the Fermi level is 3.7 states/eV/cell. The total magnetic moment is 0.0 μB per formula unit. The uncorrected formation energy is -562 meV per atom. As for the space group: Immm.

---

Record 2
Compound: Nb8C3N2
Source: Alexandria via LeMat-Bulk
Functional: PBE-GGA
Structure: relaxed

Structure (POSCAR):
```
Nb8C3N2
1.0
-1.040 0.760 -5.329
-5.277 -2.626 0.608
-4.564 3.531 1.347
Nb C N
8 3 2
Direct
0.845 0.373 0.373
0.155 0.627 0.627
0.829 0.875 0.875
0.171 0.125 0.125
0.663 0.371 0.881
0.663 0.881 0.371
0.337 0.119 0.629
0.337 0.629 0.119
0.500 0.000 0.000
0.000 0.751 0.249
0.000 0.249 0.751
0.496 0.735 0.735
0.504 0.265 0.265
```

Values from the calculation:
The value obtained for the density of states at the Fermi level is 4.5 states/eV/cell. The total magnetic moment is 0.0 μB per formula unit. The uncorrected formation energy is -665 meV per atom. As for the space group: C2/m.

---

Record 3
Compound: Nb4C2N
Source: Alexandria via LeMat-Bulk
Functional: PBE-GGA
Structure: relaxed

Structure (POSCAR):
```
Nb4C2N
1.0
3.094 0.005 0.001
1.547 5.292 2.624
0.002 0.104 5.422
Nb C N
4 2 1
Direct
0.876 0.250 0.548
0.124 0.750 0.452
0.627 0.744 0.967
0.373 0.256 0.033
0.740 0.519 0.740
0.260 0.481 0.260
0.000 0.000 0.000
```

Values from the calculation:
The value obtained for the density of states at the Fermi level is 2.8 states/eV/cell. The total magnetic moment is 0.0 μB per formula unit. The uncorrected formation energy is -633 meV per atom. As for the space group: C2/m.

---

Record 4
Compound: Nb3CN
Source: Alexandria via LeMat-Bulk
Functional: PBE-GGA
Structure: relaxed

Structure (POSCAR):
```
Nb3CN
1.0
-3.870 -0.434 1.420
-1.400 -0.254 -3.893
0.495 -4.114 0.091
Nb C N
3 1 1
Direct
0.000 0.500 0.000
0.000 0.000 0.500
0.500 0.000 0.000
0.500 0.500 0.500
0.000 0.000 0.000
```

Values from the calculation:
The value obtained for the density of states at the Fermi level is 5.7 states/eV/cell. The total magnetic moment is 0.0 μB per formula unit. The uncorrected formation energy is 579 meV per atom. As for the space group: Pm-3m.

---

Record 5
Compound: Nb6CN2
Source: Alexandria via LeMat-Bulk
Functional: PBE-GGA
Structure: relaxed

Structure (POSCAR):
```
Nb6CN2
1.0
5.194 0.000 0.000
0.000 5.194 0.000
0.000 0.000 9.438
Nb C N
12 2 4
Direct
0.291 0.291 0.332
0.709 0.709 0.332
0.209 0.791 0.832
0.791 0.209 0.832
0.209 0.791 0.168
0.791 0.209 0.168
0.291 0.291 0.668
0.709 0.709 0.668
0.292 0.292 0.000
0.708 0.708 0.000
0.208 0.792 0.500
0.792 0.208 0.500
0.000 0.000 0.000
0.500 0.500 0.500
0.000 0.000 0.332
0.500 0.500 0.832
0.500 0.500 0.168
0.000 0.000 0.668
```

Values from the calculation:
The value obtained for the density of states at the Fermi level is 12.9 states/eV/cell. The total magnetic moment is 0.0 μB per formula unit. The uncorrected formation energy is -667 meV per atom. As for the space group: P4_2/mnm.

---

Record 6
Compound: Nb8C4N3
Source: Alexandria via LeMat-Bulk
Functional: PBE-GGA
Structure: relaxed

Structure (POSCAR):
```
Nb8C4N3
1.0
5.535 -0.142 -3.052
-3.588 5.207 -0.165
-0.142 0.092 6.324
Nb C N
8 4 3
Direct
0.502 0.246 0.246
0.000 0.751 0.249
0.006 0.251 0.251
0.500 0.762 0.238
0.500 0.238 0.762
0.994 0.749 0.749
0.000 0.249 0.751
0.498 0.754 0.754
0.500 0.000 0.000
0.000 0.500 0.000
0.000 0.000 0.000
0.000 0.000 0.500
0.500 0.500 0.000
0.500 0.000 0.500
0.500 0.500 0.500
```

Values from the calculation:
The value obtained for the density of states at the Fermi level is 4.8 states/eV/cell. The total magnetic moment is 0.0 μB per formula unit. The uncorrected formation energy is -704 meV per atom. As for the space group: C2/m.

---

Record 7
Compound: NbCN2
Source: Alexandria via LeMat-Bulk
Functional: PBE-GGA
Structure: relaxed

Structure (POSCAR):
```
NbCN2
1.0
4.620 0.000 0.000
0.000 4.620 0.000
2.310 2.310 3.276
Nb C N
2 2 4
Direct
0.000 0.000 0.000
0.750 0.250 0.500
0.500 0.500 0.000
0.250 0.750 0.500
0.501 0.125 0.250
0.249 0.625 0.250
0.375 0.499 0.750
0.875 0.751 0.750
```

Values from the calculation:
The value obtained for the density of states at the Fermi level is 1.8 states/eV/cell. The total magnetic moment is 0.0 μB per formula unit. The uncorrected formation energy is 590 meV per atom. As for the space group: I-42d.

---

Record 8
Compound: Nb4C2N
Source: Alexandria via LeMat-Bulk
Functional: PBE-GGA
Structure: relaxed

Structure (POSCAR):
```
Nb4C2N
1.0
4.355 0.000 0.000
0.000 4.355 0.000
2.178 2.178 5.006
Nb C N
4 2 1
Direct
0.232 0.232 0.537
0.768 0.768 0.463
0.000 0.500 0.000
0.500 0.000 0.000
0.431 0.431 0.138
0.569 0.569 0.862
0.000 0.000 0.000
```

Values from the calculation:
The value obtained for the density of states at the Fermi level is 6.2 states/eV/cell. The total magnetic moment is 0.0 μB per formula unit. The uncorrected formation energy is -138 meV per atom. As for the space group: I4/mmm.

---

Record 9
Compound: NbNiC2N
Source: Alexandria via LeMat-Bulk
Functional: PBE-GGA
Structure: relaxed

Structure (POSCAR):
```
NbNiC2N
1.0
-2.349 -2.286 -0.673
3.767 -3.958 0.293
-0.609 -0.338 3.273
Ni Nb C N
1 1 2 1
Direct
0.000 0.000 0.000
0.000 0.500 0.000
0.000 0.000 0.500
0.500 0.000 0.000
0.500 0.500 0.500
```

Values from the calculation:
The value obtained for the density of states at the Fermi level is 2.4 states/eV/cell. The total magnetic moment is 0.5 μB per formula unit. The uncorrected formation energy is 1529 meV per atom. As for the space group: P4/mmm.

---

Record 10
Compound: NbP2CN
Source: Alexandria via LeMat-Bulk
Functional: PBE-GGA
Structure: relaxed

Structure (POSCAR):
```
NbP2CN
1.0
3.683 0.000 0.000
0.000 4.575 0.000
0.000 0.000 3.683
P Nb C N
2 1 1 1
Direct
0.000 0.000 0.500
0.500 0.000 0.000
0.000 0.500 0.000
0.000 0.000 0.000
0.500 0.500 0.500
```

Values from the calculation:
The value obtained for the density of states at the Fermi level is 2.7 states/eV/cell. The total magnetic moment is 0.0 μB per formula unit. The uncorrected formation energy is 1336 meV per atom. As for the space group: P4/mmm.

---

Record 11
Compound: PaNbCN
Source: Alexandria via LeMat-Bulk
Functional: PBE-GGA
Structure: relaxed

Structure (POSCAR):
```
PaNbCN
1.0
3.249 0.000 -0.001
-1.624 2.814 0.000
-1.626 -0.939 5.848
Pa Nb C N
1 1 1 1
Direct
0.476 0.136 0.629
0.128 0.962 0.105
0.320 0.558 0.894
0.953 0.374 0.342
```

Values from the calculation:
The value obtained for the density of states at the Fermi level is 2.6 states/eV/cell. The total magnetic moment is 0.0 μB per formula unit. The uncorrected formation energy is -768 meV per atom. As for the space group: R3m.

---

Record 12
Compound: NbPt2CN
Source: Alexandria via LeMat-Bulk
Functional: PBE-GGA
Structure: relaxed

Structure (POSCAR):
```
NbPt2CN
1.0
-1.066 -1.454 3.609
4.147 -0.395 1.066
-0.029 3.745 1.500
Nb C Pt N
1 1 2 1
Direct
0.000 0.500 0.000
0.500 0.500 0.500
0.000 0.000 0.500
0.500 0.000 0.000
0.000 0.000 0.000
```

Values from the calculation:
The value obtained for the density of states at the Fermi level is 4.0 states/eV/cell. The total magnetic moment is 0.0 μB per formula unit. The uncorrected formation energy is 1095 meV per atom. As for the space group: P4/mmm.